Density functional theory data (PBE) for a relaxed structure of VP.

Properties
Formation enthalpy at 0 K, eV per atom: -0.812
Density of states at the Fermi level, states/eV per atom: 0.4768
Theoretical density, Mg/m³: 5.283

Cell: 3.1865 4.5085 11.4949 Å, 90.00 90.00 110.69°
Closest atoms and distances in Å follow each position.
Sites, in units of the cell vectors:
V 0.6289 0.2577 0.2500  5 P 2.35-2.49
V 0.3711 0.7423 0.7500  5 P 2.35-2.49
V 0.0718 0.1435 0.6104  7 P 2.40-2.54
V 0.9282 0.8565 0.3896  7 P 2.40-2.54
V 0.9282 0.8565 0.1104  7 P 2.40-2.54
V 0.0718 0.1435 0.8896  7 P 2.40-2.54
P 0.3334 0.6669 0.2500  7 V 2.35-2.49
P 0.6666 0.3331 0.7500  7 V 2.35-2.49
P 0.3557 0.7114 0.5444  6 V 2.37-2.54, 3 P 2.60-2.64
P 0.6443 0.2886 0.4556  6 V 2.37-2.54, 3 P 2.60-2.64
P 0.6443 0.2886 0.0444  6 V 2.37-2.54, 3 P 2.60-2.64
P 0.3557 0.7114 0.9556  6 V 2.37-2.54, 3 P 2.60-2.64

Density functional theory data (PBE) for a relaxed structure of YSc2Ni.

Properties
Formation enthalpy at 0 K, eV per atom: -0.063
Density of states at the Fermi level, states/eV per atom: 1.5720
Theoretical density, Mg/m³: 4.091

Cell: 9.0414 9.0414 9.0414 Å, 22.68 22.68 22.68°
Closest atoms and distances in Å follow each position.
Sites, in units of the cell vectors:
Ni 0.7500 0.7500 0.7500  6 Sc 2.55
Sc 0.0260 0.0260 0.0260  3 Ni 2.55
Sc 0.4740 0.4740 0.4740  3 Ni 2.55
Y 0.2500 0.2500 0.2500  6 Sc 3.54, 6 Y 3.56

Values of E, in order: -8.08 -6.29, all in eV/atom.